(one)
The following is a PBEsol calculation of a relaxed structure of IrBr3, from the Alexandria database.

abc: 6.359 6.359 6.395
angles: 98.62 98.62 119.99
Fractional positions:
Ir1 0.833 0.167 0.000
Ir2 0.167 0.833 0.000
Br1 0.216 0.216 0.225
Br2 0.784 0.784 0.775
Br3 0.081 0.432 0.775
Br4 0.568 0.919 0.225
Br5 0.919 0.568 0.225
Br6 0.432 0.081 0.775

Values from the calculation:
Calculated density   6.71 Mg/m³
Total magnetization   0.000 μB per formula unit

---

(two)
The following is a PBEsol calculation of a relaxed structure of IrBr3, from the Alexandria database.

abc: 5.036 5.036 5.036
angles: 90.00 90.00 90.00
Fractional positions:
Ir1 0.000 0.000 0.000
Br1 0.500 0.000 0.000
Br2 0.000 0.500 0.000
Br3 0.000 0.000 0.500

Values from the calculation:
Calculated density   5.61 Mg/m³
DOS(E_F)   1.111 states/eV/atom
Total magnetization   1.382 μB per formula unit

---

(one) wins, 560 meV per atom ahead of the next structure.

---

(one)
The following is a PBEsol calculation of a relaxed structure of KIr2Br, from the Alexandria database.

abc: 2.951 2.951 8.640
angles: 90.00 90.00 90.00
Fractional positions:
Br1 0.500 0.500 0.500
Ir1 0.000 0.000 0.693
Ir2 0.000 0.000 0.307
K1 0.500 0.500 0.000

Values from the calculation:
Calculated density   11.11 Mg/m³
DOS(E_F)   0.540 states/eV/atom
Total magnetization   0.000 μB per formula unit

---

(two)
The following is a PBEsol calculation of a relaxed structure of KIr2Br, from the Alexandria database.

abc: 2.812 2.878 10.143
angles: 90.00 90.00 119.24
Fractional positions:
Br1 0.500 0.000 0.000
Ir1 0.000 0.000 0.775
Ir2 0.000 0.000 0.225
K1 0.500 0.000 0.500

Values from the calculation:
Calculated density   11.67 Mg/m³
DOS(E_F)   1.018 states/eV/atom
Total magnetization   0.000 μB per formula unit

---

(two) wins, 83 meV per atom ahead of the next structure.